Computed, not measured: a relaxed structure of Cs3LiHg at the PBE level of DFT.

Output
For the excess energy over the best structure of this formula in the dataset, the calculation gives 0.0 kJ/mol of atoms. The total energy is -0.88 eV/atom.

```
Cs3LiHg
1.0
7.362 0.000 0.000
0.000 7.362 0.000
0.000 0.000 7.362
Hg Cs Li
1 3 1
Direct
0.000 0.000 0.000
0.500 0.000 0.000
0.000 0.500 0.000
0.000 0.000 0.500
0.500 0.500 0.500
```